1.
{"formula": "Tb2Tm4Se9", "functional": "PBE-GGA", "state": "relaxed", "lattice_angstrom": [[-0.8293, -3.5350, 6.1521], [5.6287, -3.1073, 3.1181], [3.5472, 16.2957, 9.8319]], "species": ["Tb", "Tb", "Tb", "Tb", "Tm", "Tm", "Tm", "Tm", "Tm", "Tm", "Tm", "Tm", "Se", "Se", "Se", "Se", "Se", "Se", "Se", "Se", "Se", "Se", "Se", "Se", "Se", "Se", "Se", "Se", "Se", "Se"], "fractional_positions": [[0.9989, 0.0014, 0.3483], [0.9998, 0.9989, 0.1514], [0.0011, 0.9986, 0.6517], [0.0002, 0.0011, 0.8486], [0.3330, 0.3335, 0.9867], [0.3339, 0.3332, 0.4871], [0.6670, 0.6665, 0.0133], [0.3324, 0.3336, 0.1807], [0.6661, 0.6668, 0.5129], [0.6658, 0.6668, 0.3196], [0.3342, 0.3332, 0.6804], [0.6676, 0.6664, 0.8193], [0.0010, 0.3094, 0.7499], [0.3098, 0.6900, 0.7503], [0.6908, 0.0003, 0.7501], [0.9990, 0.6906, 0.2501], [0.6902, 0.3100, 0.2497], [0.3092, 0.9997, 0.2499], [0.6594, 0.9747, 0.4166], [0.9739, 0.3663, 0.4169], [0.3647, 0.6606, 0.4166], [0.6332, 0.0266, 0.0833], [0.3399, 0.6335, 0.0833], [0.0264, 0.3385, 0.0832], [0.3406, 0.0253, 0.5834], [0.0261, 0.6337, 0.5831], [0.6353, 0.3394, 0.5834], [0.3668, 0.9734, 0.9167], [0.6601, 0.3665, 0.9167], [0.9736, 0.6615, 0.9168]], "final_energy_ev_per_atom": -5.748, "formation_energy_uncorrected_ev_per_atom": -1.85, "spacegroup": "P-1, No. 2"}



2.
{"formula": "Tb6TmSe8", "functional": "PBE-GGA", "state": "relaxed", "lattice_angstrom": [[8.1564, 0.0000, 0.0000], [4.0782, 7.0636, 0.0000], [4.0782, 2.3545, 6.6596]], "species": ["Tb", "Tb", "Tb", "Tb", "Tb", "Tb", "Tm", "Se", "Se", "Se", "Se", "Se", "Se", "Se", "Se"], "fractional_positions": [[0.0000, 0.5000, 0.5000], [0.5000, 0.0000, 0.0000], [0.5000, 0.5000, 0.0000], [0.0000, 0.0000, 0.5000], [0.0000, 0.5000, 0.0000], [0.5000, 0.0000, 0.5000], [0.0000, 0.0000, 0.0000], [0.7500, 0.7500, 0.7500], [0.2500, 0.2500, 0.2500], [0.7502, 0.2498, 0.2498], [0.2498, 0.7502, 0.7502], [0.2498, 0.2498, 0.7502], [0.7502, 0.7502, 0.2498], [0.7502, 0.2498, 0.7502], [0.2498, 0.7502, 0.2498]], "final_energy_ev_per_atom": -5.850, "formation_energy_uncorrected_ev_per_atom": -1.84, "spacegroup": "Fm-3m, No. 225"}



3.
{"formula": "Tb2Tm3Se4", "functional": "PBE-GGA", "state": "relaxed", "lattice_angstrom": [[3.9473, 0.0003, 0.0029], [-1.9734, 3.4186, -0.0029], [-0.0069, 0.0040, 16.6396]], "species": ["Tb", "Tb", "Tm", "Tm", "Tm", "Se", "Se", "Se", "Se"], "fractional_positions": [[0.6671, 0.3329, 0.7913], [0.3329, 0.6671, 0.2087], [0.6661, 0.3339, 0.4186], [0.0000, 0.0000, 0.0000], [0.3339, 0.6661, 0.5814], [0.3336, 0.6664, 0.8991], [0.9994, 0.0006, 0.3138], [0.0006, 0.9994, 0.6862], [0.6664, 0.3336, 0.1009]], "final_energy_ev_per_atom": -5.582, "formation_energy_uncorrected_ev_per_atom": -1.51, "spacegroup": "C2/m, No. 12"}



4.
{"formula": "Tb2TmSe4", "functional": "PBE-GGA", "state": "relaxed", "lattice_angstrom": [[-4.6052, 6.5014, 1.7048], [0.7629, 3.7857, 7.0931], [3.2854, 7.3744, 0.2211]], "species": ["Tb", "Tb", "Tb", "Tb", "Tm", "Tm", "Se", "Se", "Se", "Se", "Se", "Se", "Se", "Se"], "fractional_positions": [[0.0000, 0.0000, 0.0000], [0.0000, 0.0000, 0.5000], [0.0000, 0.5000, 0.5000], [0.5000, 0.0000, 0.5000], [0.5000, 0.5000, 0.0000], [0.0000, 0.5000, 0.0000], [0.2570, 0.2472, 0.2389], [0.7430, 0.2611, 0.2528], [0.2570, 0.7389, 0.7472], [0.7430, 0.7528, 0.7611], [0.7526, 0.7479, 0.2479], [0.7485, 0.2521, 0.7521], [0.2515, 0.7479, 0.2479], [0.2474, 0.2521, 0.7521]], "e_above_lowest_polymorph_mev_per_atom": 0, "final_energy_ev_per_atom": -5.819, "formation_energy_uncorrected_ev_per_atom": -1.87, "spacegroup": "Imma, No. 74"}



no.,V (Å³ per atom)
1,28.54
2,25.58
3,24.95
4,26.84